# CsZnGaAu3 | Alexandria | PBE | optimized geometry
data_CsZnGaAu3
_chemical_formula_sum 'Cs2 Zn2 Ga2 Au6'
_space_group_name_H-M_alt 'P 1'
_space_group_IT_number 1
_cell_length_a 6.996
_cell_length_b 7.046
_cell_length_c 7.548
_cell_angle_alpha 117.83
_cell_angle_beta 90.00
_cell_angle_gamma 90.00
loop_
_space_group_symop_operation_xyz
'x,y,z'
loop_
_atom_site_label
_atom_site_type_symbol
_atom_site_fract_x
_atom_site_fract_y
_atom_site_fract_z
_atom_site_occupancy
Zn1 Zn 0.250 0.041 0.082 1
Zn2 Zn 0.750 0.959 0.918 1
Au1 Au 0.500 0.267 0.000 1
Au2 Au 0.000 0.267 0.000 1
Au3 Au 0.000 0.733 0.000 1
Au4 Au 0.250 0.234 0.468 1
Au5 Au 0.500 0.733 0.000 1
Au6 Au 0.750 0.766 0.532 1
Ga1 Ga 0.250 0.424 0.848 1
Ga2 Ga 0.750 0.576 0.152 1
Cs1 Cs 0.750 0.256 0.511 1
Cs2 Cs 0.250 0.744 0.489 1
# total energy: -2.72 eV/atom

# Cs2ZnGaAu | Alexandria | PBE | optimized geometry
data_Cs2ZnGaAu
_chemical_formula_sum 'Cs2 Zn1 Ga1 Au1'
_space_group_name_H-M_alt 'P 1'
_space_group_IT_number 1
_cell_length_a 7.089
_cell_length_b 7.089
_cell_length_c 4.897
_cell_angle_alpha 90.00
_cell_angle_beta 90.00
_cell_angle_gamma 90.00
loop_
_space_group_symop_operation_xyz
'x,y,z'
loop_
_atom_site_label
_atom_site_type_symbol
_atom_site_fract_x
_atom_site_fract_y
_atom_site_fract_z
_atom_site_occupancy
Zn1 Zn 0.500 0.500 0.500 1
Cs1 Cs 0.500 0.000 0.000 1
Cs2 Cs 0.000 0.500 0.000 1
Ga1 Ga 0.000 0.000 0.500 1
Au1 Au 0.000 0.000 0.000 1
# total energy: -1.83 eV/atom

# CsZrGaAu2 | Alexandria | PBE | optimized geometry
data_CsZrGaAu2
_chemical_formula_sum 'Cs1 Zr1 Ga1 Au2'
_space_group_name_H-M_alt 'P 1'
_space_group_IT_number 1
_cell_length_a 5.788
_cell_length_b 5.613
_cell_length_c 5.788
_cell_angle_alpha 90.00
_cell_angle_beta 90.00
_cell_angle_gamma 90.00
loop_
_space_group_symop_operation_xyz
'x,y,z'
loop_
_atom_site_label
_atom_site_type_symbol
_atom_site_fract_x
_atom_site_fract_y
_atom_site_fract_z
_atom_site_occupancy
Ga1 Ga 0.000 0.500 0.000 1
Cs1 Cs 0.000 0.000 0.000 1
Au1 Au 0.000 0.000 0.500 1
Au2 Au 0.500 0.000 0.000 1
Zr1 Zr 0.500 0.500 0.500 1
# total energy: -2.25 eV/atom

# CsGdAu2 | Alexandria | PBE | optimized geometry
data_CsGdAu2
_chemical_formula_sum 'Cs1 Gd1 Au2'
_space_group_name_H-M_alt 'P 1'
_space_group_IT_number 1
_cell_length_a 3.815
_cell_length_b 3.815
_cell_length_c 8.545
_cell_angle_alpha 90.00
_cell_angle_beta 90.00
_cell_angle_gamma 90.00
loop_
_space_group_symop_operation_xyz
'x,y,z'
loop_
_atom_site_label
_atom_site_type_symbol
_atom_site_fract_x
_atom_site_fract_y
_atom_site_fract_z
_atom_site_occupancy
Au1 Au 0.000 0.000 0.826 1
Au2 Au 0.000 0.000 0.174 1
Gd1 Gd 0.500 0.500 0.000 1
Cs1 Cs 0.500 0.500 0.500 1
# total energy: -5.89 eV/atom

# CsGe12Au7 | Alexandria | PBE | optimized geometry
data_CsGe12Au7
_chemical_formula_sum 'Cs1 Ge12 Au7'
_space_group_name_H-M_alt 'P 1'
_space_group_IT_number 1
_cell_length_a 6.986
_cell_length_b 8.944
_cell_length_c 8.946
_cell_angle_alpha 66.61
_cell_angle_beta 74.52
_cell_angle_gamma 105.29
loop_
_space_group_symop_operation_xyz
'x,y,z'
loop_
_atom_site_label
_atom_site_type_symbol
_atom_site_fract_x
_atom_site_fract_y
_atom_site_fract_z
_atom_site_occupancy
Au1 Au 0.396 0.660 0.521 1
Au2 Au 0.065 0.537 0.091 1
Au3 Au 0.152 0.080 0.377 1
Au4 Au 0.520 0.001 0.999 1
Au5 Au 0.919 0.521 0.823 1
Au6 Au 0.724 0.820 0.652 1
Au7 Au 0.535 0.379 0.542 1
Ge1 Ge 0.655 0.471 0.179 1
Ge2 Ge 0.826 0.305 0.695 1
Ge3 Ge 0.842 0.181 0.350 1
Ge4 Ge 0.532 0.050 0.669 1
Ge5 Ge 0.207 0.670 0.287 1
Ge6 Ge 0.206 0.853 0.640 1
Ge7 Ge 0.849 0.639 0.514 1
Ge8 Ge 0.512 0.698 0.995 1
Ge9 Ge 0.344 0.503 0.855 1
Ge10 Ge 0.514 0.002 0.304 1
Ge11 Ge 0.487 0.285 0.043 1
Ge12 Ge 0.203 0.351 0.461 1
Cs1 Cs 0.012 0.994 0.004 1
# total energy: -3.91 eV/atom

# Cs2GeAu | Alexandria | PBE | optimized geometry
data_Cs2GeAu
_chemical_formula_sum 'Cs4 Ge2 Au2'
_space_group_name_H-M_alt 'P 1'
_space_group_IT_number 1
_cell_length_a 7.628
_cell_length_b 6.862
_cell_length_c 6.862
_cell_angle_alpha 111.86
_cell_angle_beta 90.00
_cell_angle_gamma 90.00
loop_
_space_group_symop_operation_xyz
'x,y,z'
loop_
_atom_site_label
_atom_site_type_symbol
_atom_site_fract_x
_atom_site_fract_y
_atom_site_fract_z
_atom_site_occupancy
Ge1 Ge 0.250 0.289 0.289 1
Ge2 Ge 0.750 0.711 0.711 1
Cs1 Cs 0.250 0.666 0.004 1
Cs2 Cs 0.750 0.334 0.996 1
Cs3 Cs 0.750 0.996 0.334 1
Cs4 Cs 0.250 0.004 0.666 1
Au1 Au 0.500 0.500 0.500 1
Au2 Au 0.000 0.500 0.500 1
# ΔE to the lowest computed polymorph: 3 meV per atom

# CsGe3Au3 | Alexandria | PBE | optimized geometry
data_CsGe3Au3
_chemical_formula_sum 'Cs2 Ge6 Au6'
_space_group_name_H-M_alt 'P 1'
_space_group_IT_number 1
_cell_length_a 7.450
_cell_length_b 7.450
_cell_length_c 9.850
_cell_angle_alpha 67.78
_cell_angle_beta 67.78
_cell_angle_gamma 60.00
loop_
_space_group_symop_operation_xyz
'x,y,z'
loop_
_atom_site_label
_atom_site_type_symbol
_atom_site_fract_x
_atom_site_fract_y
_atom_site_fract_z
_atom_site_occupancy
Au1 Au 0.470 0.131 0.610 1
Au2 Au 0.869 0.210 0.390 1
Au3 Au 0.210 0.530 0.390 1
Au4 Au 0.131 0.790 0.610 1
Au5 Au 0.530 0.869 0.390 1
Au6 Au 0.790 0.470 0.610 1
Ge1 Ge 0.895 0.570 0.316 1
Ge2 Ge 0.570 0.219 0.316 1
Ge3 Ge 0.781 0.105 0.684 1
Ge4 Ge 0.430 0.781 0.684 1
Ge5 Ge 0.105 0.430 0.684 1
Ge6 Ge 0.219 0.895 0.316 1
Cs1 Cs 0.333 0.333 0.000 1
Cs2 Cs 0.667 0.667 0.000 1
# ΔE to the lowest computed polymorph: 38 meV per atom

# Cs4GeAu5 | Alexandria | PBE | optimized geometry
data_Cs4GeAu5
_chemical_formula_sum 'Cs4 Ge1 Au5'
_space_group_name_H-M_alt 'P 1'
_space_group_IT_number 1
_cell_length_a 7.282
_cell_length_b 8.397
_cell_length_c 8.397
_cell_angle_alpha 79.16
_cell_angle_beta 64.31
_cell_angle_gamma 64.31
loop_
_space_group_symop_operation_xyz
'x,y,z'
loop_
_atom_site_label
_atom_site_type_symbol
_atom_site_fract_x
_atom_site_fract_y
_atom_site_fract_z
_atom_site_occupancy
Au1 Au 0.801 0.155 0.300 1
Au2 Au 0.308 0.000 0.000 1
Au3 Au 0.256 0.845 0.700 1
Au4 Au 0.101 0.700 0.155 1
Au5 Au 0.956 0.300 0.845 1
Ge1 Ge 0.950 0.000 0.000 1
Cs1 Cs 0.453 0.370 0.792 1
Cs2 Cs 0.823 0.792 0.630 1
Cs3 Cs 0.615 0.630 0.208 1
Cs4 Cs 0.245 0.208 0.370 1
# total energy: -2.59 eV/atom

# CsGeAu4 | Alexandria | PBE | optimized geometry
data_CsGeAu4
_chemical_formula_sum 'Cs2 Ge2 Au8'
_space_group_name_H-M_alt 'P 1'
_space_group_IT_number 1
_cell_length_a 4.471
_cell_length_b 7.943
_cell_length_c 9.428
_cell_angle_alpha 90.00
_cell_angle_beta 103.72
_cell_angle_gamma 90.00
loop_
_space_group_symop_operation_xyz
'x,y,z'
loop_
_atom_site_label
_atom_site_type_symbol
_atom_site_fract_x
_atom_site_fract_y
_atom_site_fract_z
_atom_site_occupancy
Ge1 Ge 0.913 0.250 0.826 1
Ge2 Ge 0.087 0.750 0.174 1
Cs1 Cs 0.395 0.750 0.790 1
Cs2 Cs 0.605 0.250 0.210 1
Au1 Au 0.216 0.937 0.433 1
Au2 Au 0.216 0.563 0.433 1
Au3 Au 0.339 0.250 0.677 1
Au4 Au 0.784 0.437 0.567 1
Au5 Au 0.784 0.063 0.567 1
Au6 Au 0.000 0.000 0.000 1
Au7 Au 0.000 0.500 0.000 1
Au8 Au 0.661 0.750 0.323 1
# ΔE to the lowest computed polymorph: 15 meV per atom

# Cs3GeAu4 | Alexandria | PBE | optimized geometry
data_Cs3GeAu4
_chemical_formula_sum 'Cs3 Ge1 Au4'
_space_group_name_H-M_alt 'P 1'
_space_group_IT_number 1
_cell_length_a 7.552
_cell_length_b 7.552
_cell_length_c 7.552
_cell_angle_alpha 110.23
_cell_angle_beta 109.09
_cell_angle_gamma 109.09
loop_
_space_group_symop_operation_xyz
'x,y,z'
loop_
_atom_site_label
_atom_site_type_symbol
_atom_site_fract_x
_atom_site_fract_y
_atom_site_fract_z
_atom_site_occupancy
Au1 Au 0.413 0.706 0.706 1
Au2 Au 0.587 0.294 0.294 1
Au3 Au 0.000 0.706 0.294 1
Au4 Au 0.000 0.294 0.706 1
Ge1 Ge 0.000 0.500 0.500 1
Cs1 Cs 0.000 0.000 0.000 1
Cs2 Cs 0.500 0.250 0.750 1
Cs3 Cs 0.500 0.750 0.250 1
# total energy: -2.62 eV/atom

# Cs2GeAu2 | Alexandria | PBE | optimized geometry
data_Cs2GeAu2
_chemical_formula_sum 'Cs4 Ge2 Au4'
_space_group_name_H-M_alt 'P 1'
_space_group_IT_number 1
_cell_length_a 7.502
_cell_length_b 7.502
_cell_length_c 6.017
_cell_angle_alpha 90.00
_cell_angle_beta 90.00
_cell_angle_gamma 90.00
loop_
_space_group_symop_operation_xyz
'x,y,z'
loop_
_atom_site_label
_atom_site_type_symbol
_atom_site_fract_x
_atom_site_fract_y
_atom_site_fract_z
_atom_site_occupancy
Au1 Au 0.692 0.192 0.000 1
Au2 Au 0.192 0.308 0.000 1
Au3 Au 0.308 0.808 0.000 1
Au4 Au 0.808 0.692 0.000 1
Cs1 Cs 0.666 0.834 0.500 1
Cs2 Cs 0.166 0.666 0.500 1
Cs3 Cs 0.334 0.166 0.500 1
Cs4 Cs 0.834 0.334 0.500 1
Ge1 Ge 0.000 0.000 0.000 1
Ge2 Ge 0.500 0.500 0.000 1
# ΔE to the lowest computed polymorph: 134 meV per atom

# Cs2Ge2Au3 | Alexandria | PBE | optimized geometry
data_Cs2Ge2Au3
_chemical_formula_sum 'Cs2 Ge2 Au3'
_space_group_name_H-M_alt 'P 1'
_space_group_IT_number 1
_cell_length_a 7.420
_cell_length_b 7.420
_cell_length_c 7.420
_cell_angle_alpha 61.04
_cell_angle_beta 61.04
_cell_angle_gamma 61.04
loop_
_space_group_symop_operation_xyz
'x,y,z'
loop_
_atom_site_label
_atom_site_type_symbol
_atom_site_fract_x
_atom_site_fract_y
_atom_site_fract_z
_atom_site_occupancy
Au1 Au 0.500 0.000 0.000 1
Au2 Au 0.000 0.000 0.500 1
Au3 Au 0.000 0.500 0.000 1
Ge1 Ge 0.765 0.765 0.765 1
Ge2 Ge 0.235 0.235 0.235 1
Cs1 Cs 0.000 0.000 0.000 1
Cs2 Cs 0.500 0.500 0.500 1
# total energy: -3.07 eV/atom

Density (computed, g/cm3): 8.669; 4.034; 6.074; 9.134; 8.812; 5.333; 7.342; 6.329; 10.144; 6.309; 7.182; 5.629